OsW2Cl | PBE | optimized geometry

a = 5.268 Å, b = 5.268 Å, c = 5.268 Å
α = 147.61°, β = 128.73°, γ = 61.96°
Positions (direct):
Os: 0.000 0.000 0.000
W: 0.270 0.770 0.500
W: 0.730 0.230 0.500
Cl: 0.500 0.500 0.000

magnetization	0.0	μB per formula unit
formation energy (no corrections)	917	meV per atom
SG	Immm (71)
crystal system	orthorhombic


OsW2Cl | PBE | optimized geometry

a = 5.101 Å, b = 5.101 Å, c = 5.101 Å
α = 135.90°, β = 135.90°, γ = 64.13°
Positions (direct):
Os: 0.000 0.000 0.000
W: 0.250 0.750 0.500
W: 0.500 0.500 0.000
Cl: 0.750 0.250 0.500

magnetization	0.0	μB per formula unit
formation energy (no corrections)	1315	meV per atom
SG	I-4m2 (119)
crystal system	tetragonal


Os2WCl | PBE | optimized geometry

a = 2.860 Å, b = 4.083 Å, c = 5.268 Å
α = 90.00°, β = 104.82°, γ = 90.00°
Positions (direct):
Os: 0.136 0.000 0.259
Os: 0.864 0.000 0.741
W: 0.500 0.500 0.000
Cl: 0.500 0.500 0.500

magnetization	0.0	μB per formula unit
formation energy (no corrections)	758	meV per atom
SG	P2/m (10)
crystal system	monoclinic


OsW2Cl | PBE | optimized geometry

a = 4.973 Å, b = 4.973 Å, c = 2.819 Å
α = 90.00°, β = 90.00°, γ = 115.24°
Positions (direct):
Os: 0.000 0.000 0.000
W: 0.000 0.500 0.500
W: 0.500 0.000 0.500
Cl: 0.500 0.500 0.000

magnetization	0.0	μB per formula unit
formation energy (no corrections)	1103	meV per atom
SG	Cmmm (65)
crystal system	orthorhombic


OsW2Cl | PBE | optimized geometry

a = 3.776 Å, b = 3.776 Å, c = 4.481 Å
α = 90.00°, β = 90.00°, γ = 90.00°
Positions (direct):
Os: 0.000 0.000 0.000
W: 0.000 0.500 0.500
W: 0.500 0.000 0.500
Cl: 0.500 0.500 0.000

magnetization	0.0	μB per formula unit
formation energy (no corrections)	1488	meV per atom
SG	P4/mmm (123)
crystal system	tetragonal


OsW2Cl | PBE | optimized geometry

a = 2.846 Å, b = 4.123 Å, c = 5.503 Å
α = 90.00°, β = 104.85°, γ = 90.00°
Positions (direct):
Os: 0.000 0.000 0.000
W: 0.263 0.000 0.512
W: 0.599 0.500 0.200
Cl: 0.381 0.500 0.745

magnetization	0.0	μB per formula unit
formation energy (no corrections)	661	meV per atom
SG	Pm (6)
crystal system	monoclinic


ZrOsWCl2 | PBE | optimized geometry

a = 4.623 Å, b = 4.623 Å, c = 5.030 Å
α = 90.00°, β = 90.00°, γ = 90.00°
Positions (direct):
Zr: 0.000 0.000 0.000
Os: 0.500 0.500 0.500
W: 0.500 0.500 0.000
Cl: 0.000 0.500 0.500
Cl: 0.500 0.000 0.500

magnetization	0.0	μB per formula unit
formation energy (no corrections)	1245	meV per atom
SG	P4/mmm (123)
crystal system	tetragonal


Y3OsCl | PBE | optimized geometry

a = 5.451 Å, b = 5.451 Å, c = 5.451 Å
α = 90.00°, β = 90.00°, γ = 90.00°
Positions (direct):
Y: 0.000 0.000 0.500
Y: 0.000 0.500 0.000
Y: 0.500 0.000 0.000
Os: 0.000 0.000 0.000
Cl: 0.500 0.500 0.500

magnetization	0.0	μB per formula unit
formation energy (no corrections)	-175	meV per atom
SG	Pm-3m (221)
crystal system	cubic


YOsCl4 | PBE | optimized geometry

a = 5.748 Å, b = 5.748 Å, c = 5.748 Å
α = 60.00°, β = 60.00°, γ = 60.00°
Positions (direct):
Y: 0.000 0.000 0.000
Os: 0.250 0.250 0.250
Cl: 0.125 0.625 0.625
Cl: 0.625 0.125 0.625
Cl: 0.625 0.625 0.125
Cl: 0.625 0.625 0.625

magnetization	5.0	μB per formula unit
formation energy (no corrections)	665	meV per atom
SG	F-43m (216)
crystal system	cubic


YOs4Cl | PBE | optimized geometry

a = 5.334 Å, b = 5.334 Å, c = 5.334 Å
α = 60.00°, β = 60.00°, γ = 60.00°
Positions (direct):
Y: 0.000 0.000 0.000
Os: 0.375 0.375 0.375
Os: 0.375 0.375 0.874
Os: 0.375 0.874 0.375
Os: 0.874 0.375 0.375
Cl: 0.750 0.750 0.750

magnetization	1.9	μB per formula unit
formation energy (no corrections)	674	meV per atom
SG	F-43m (216)
crystal system	cubic


Y2Os2Cl | PBE | optimized geometry

a = 8.752 Å, b = 8.752 Å, c = 8.752 Å
α = 155.36°, β = 155.36°, γ = 35.13°
Positions (direct):
Y: 0.121 0.121 0.000
Y: 0.879 0.879 0.000
Os: 0.250 0.750 0.500
Os: 0.750 0.250 0.500
Cl: 0.500 0.500 0.000

magnetization	0.3	μB per formula unit
formation energy (no corrections)	-253	meV per atom
SG	I4/mmm (139)
crystal system	tetragonal


Y2Os2Cl | PBE | optimized geometry

a = 8.206 Å, b = 8.206 Å, c = 3.407 Å
α = 90.00°, β = 90.00°, γ = 90.00°
Positions (direct):
Y: 0.189 0.311 0.000
Y: 0.311 0.811 0.000
Y: 0.689 0.189 0.000
Y: 0.811 0.689 0.000
Os: 0.101 0.601 0.500
Os: 0.399 0.101 0.500
Os: 0.601 0.899 0.500
Os: 0.899 0.399 0.500
Cl: 0.000 0.000 0.000
Cl: 0.500 0.500 0.000

magnetization	1.1	μB per formula unit
formation energy (no corrections)	15	meV per atom
SG	P4/mbm (127)
crystal system	tetragonal


> magnetization of number 2 (OsW2Cl)?

0.0 μB per formula unit